## LiTmAlPd (PBE-GGA)

Data for LiTmAlPd after structural relaxation.

Summary:
The value obtained for the volume is 17.73 Å³/atom. Its space-group type is No. 216.

The structure in extended XYZ format:
```
4
Lattice="4.6458 0.0000 0.0000 2.3229 4.0234 0.0000 2.3229 1.3411 3.7933" Properties=species:S:1:pos:R:3 pbc="T T T"
Li 0.0000 0.0000 0.0000
Al 2.3229 1.3411 0.9483
Pd 4.6458 2.6822 1.8966
Tm 6.9687 4.0234 2.8449
```

---

## Cs2KMoSe4 (PBE-GGA)

Data for Cs2KMoSe4 after structural relaxation.

Summary:
The value obtained for the volume is 43.55 Å³/atom. Its space-group type is No. 70. For the uncorrected formation energy, the calculation gives -18.53 kcal/mol of atoms.

The structure in extended XYZ format:
```
16
Lattice="7.3852 0.0000 0.0000 3.6926 7.1256 0.0000 3.6926 0.0000 13.2398" Properties=species:S:1:pos:R:3 pbc="T T T"
Cs 3.6926 0.0000 8.3665
Se 6.8394 4.9926 5.2141
Se 6.8394 2.1330 8.0257
Cs 9.2315 3.5628 1.7466
K 9.2315 3.5628 6.6199
Cs 9.2315 3.5628 11.4932
Se 6.0847 1.4298 11.8340
Se 6.0847 5.6958 1.4058
Mo 3.6926 0.0000 0.0000
Se 12.3783 5.6958 11.8340
K 0.0000 0.0000 0.0000
Se 4.9931 1.4298 1.4058
Se 4.2384 2.1330 5.2141
Cs 7.3852 0.0000 4.8733
Se 11.6236 4.9926 8.0257
Mo 5.5389 3.5628 6.6199
```

---

## TaGa2SeI (PBE-GGA)

Data for TaGa2SeI after structural relaxation.

Summary:
The value obtained for the volume is 33.20 Å³/atom. Its space-group type is No. 123. For the uncorrected formation energy, the calculation gives 16.24 kcal/mol of atoms.

The structure in extended XYZ format:
```
5
Lattice="-1.5776 -5.5946 0.2039 0.1624 -0.2243 -4.8986 5.5950 -1.5684 0.2573" Properties=species:S:1:pos:R:3 pbc="T T T"
Ga -0.7888 -2.7973 0.1019
Se 0.0000 0.0000 0.0000
Ta 0.0812 -0.1122 -2.4493
Ga 2.7975 -0.7842 0.1286
I 2.0899 -3.6936 -2.2187
```

---

Ordered E_tot results: -4.438 -4.250 -3.884; unit eV/atom.